[1]
An optimized crystal structure of Cd3Hg3GeO8. Source: Alexandria, functional GGA-PBE.

```
Cd3Hg3GeO8
1.0
-5.722 0.446 3.551
-0.092 -2.587 -6.237
3.694 -3.232 6.357
O Cd Ge Hg
8 3 1 3
Direct
0.756 0.952 0.305
0.196 0.952 0.305
0.244 0.048 0.695
0.790 0.580 0.341
0.804 0.048 0.695
0.232 0.463 0.287
0.210 0.420 0.659
0.768 0.537 0.713
0.500 0.500 0.500
0.500 0.000 0.500
0.000 0.500 0.500
0.000 0.000 0.500
0.000 0.000 0.000
0.500 0.500 0.000
0.000 0.500 0.000
```

Results
space-group type	C2/m, No. 12
energy relative to the elements, uncorrected	-12.60	eV per formula unit
M_tot	0.00	μB/atom

[2]
An optimized crystal structure of Mg2NiW. Source: Alexandria, functional GGA-PBE.

```
Mg2NiW
1.0
-1.823 1.063 1.941
1.351 -1.456 2.069
4.920 6.260 1.193
Mg W Ni
2 1 1
Direct
0.500 0.500 0.297
0.000 0.000 0.978
0.500 0.500 0.711
0.000 0.000 0.514
```

Results
space-group type	P4mm, No. 99
E_form	0.109	eV per atom
M_tot	0.00	μB/atom
energy relative to the lowest polymorph listed for this composition	0.000	eV/atom